1.
This record from Alexandria via LeMat-Bulk describes an optimized crystal structure of Ac3TlS. The functional is GGA-PBE.

POSCAR file:
```
Ac3TlS
1.0
4.2645 0.0000 0.0000
0.0000 10.0313 0.0000
0.0000 0.0000 16.8540
Ac S Tl
12 4 4
Cartesian
3.1984 1.6825 0.5500
3.1984 8.4517 3.2037
1.0661 4.8665 1.8420
1.0661 3.3331 8.9771
1.0661 1.5796 13.6503
3.1984 6.6982 7.8770
3.1984 5.1648 15.0120
1.0661 6.5952 11.6307
1.0661 8.3488 16.3040
1.0661 9.8822 6.5850
3.1984 0.1491 10.2690
3.1984 3.4361 5.2233
1.0661 3.3208 16.0822
1.0661 8.3364 9.1988
3.1984 6.7105 0.7718
3.1984 1.6949 7.6552
3.1984 3.6474 11.7811
1.0661 6.3839 5.0729
3.1984 8.6631 13.4999
1.0661 1.3682 3.3541
```

## Properties
* ρ: 8.5 g cm⁻³
* magnetic moment: 0.000 μB/atom
* SG: Pnma (62)

2.
This record from Alexandria via LeMat-Bulk describes an optimized crystal structure of Ac3TlS. The functional is GGA-PBE.

POSCAR file:
```
Ac3TlS
1.0
5.7551 0.0000 0.0000
0.0000 5.7551 0.0000
0.0000 0.0000 5.7551
Ac Tl S
3 1 1
Cartesian
0.0000 0.0000 2.8776
2.8776 0.0000 0.0000
0.0000 2.8776 0.0000
2.8776 2.8776 2.8776
0.0000 0.0000 0.0000
```

## Properties
* ρ: 8.0 g cm⁻³
* magnetic moment: 0.000 μB/atom
* SG: Pm-3m (221)

Which structure above is the least stable one? 2 is the least stable one.